(1)
Entry from Alexandria: a relaxed structure of Pm2YErSc4 (GGA-PBE).

total moment = 0.00 μB/atom
ρ = 5.303 g/cm3
E_form = 0.054 eV per atom

Geometry as POSCAR:
```
Pm2YErSc4
1.0
4.962 0.000 0.000
0.000 4.878 0.911
0.000 3.180 9.986
Pm Sc Er Y
2 4 1 1
Direct
0.000 0.000 0.000 Pm
0.500 0.000 0.500 Pm
0.500 0.748 0.252 Sc
0.500 0.252 0.748 Sc
0.000 0.752 0.748 Sc
0.000 0.248 0.252 Sc
0.000 0.500 0.500 Er
0.500 0.500 0.000 Y
```

(2)
Entry from Alexandria: a relaxed structure of Na2NpPbI8 (GGA-PBE).

total moment = 0.25 μB/atom
ρ = 4.648 g/cm3
formation energy without anion corrections = -869 meV/atom

Geometry as POSCAR:
```
Na2NpPbI8
1.0
7.779 -0.222 -0.004
-0.292 7.351 -0.009
0.005 0.012 9.416
I Np Na Pb
8 1 2 1
Direct
0.150 0.772 0.230 I
0.150 0.772 0.770 I
0.323 0.250 0.000 I
0.850 0.228 0.770 I
0.342 0.260 0.500 I
0.677 0.750 0.000 I
0.850 0.228 0.230 I
0.658 0.740 0.500 I
0.000 0.000 0.000 Np
0.500 0.500 0.259 Na
0.500 0.500 0.741 Na
0.000 0.000 0.500 Pb
```

(3)
Entry from Alexandria: a relaxed structure of B2PH2 (GGA-PBE).

total moment = 0.00 μB/atom
ρ = 2.658 g/cm3
energy above the most stable polymorph in this dataset = 0.0 meV per atom

Geometry as POSCAR:
```
B2PH2
1.0
5.301 0.000 0.000
0.000 5.301 0.000
0.000 0.000 2.428
B H P
4 4 2
Direct
0.112 0.388 0.000 B
0.388 0.888 0.000 B
0.612 0.112 0.000 B
0.888 0.612 0.000 B
0.887 0.387 0.500 H
0.113 0.613 0.500 H
0.387 0.113 0.500 H
0.613 0.887 0.500 H
0.000 0.000 0.000 P
0.500 0.500 0.000 P
```

Q: Which of these has the highest total moment?
A: Na2NpPbI8